Crystalline Pr2Ga3SnPt4 at its relaxed geometry, computed with PBE.

Cell: 4.3755 4.3755 10.6296 Å, 90.00 90.00 90.00°
Fractional coordinates of all 10 atoms:
Pr  0.0000  0.5000  0.2446
Pr  0.5000  0.0000  0.7554
Ga  0.0000  0.5000  0.8757
Ga  0.5000  0.0000  0.1243
Ga  0.5000  0.5000  0.5000
Sn  0.0000  0.0000  0.5000
Pt  0.0000  0.0000  0.0000
Pt  0.0000  0.5000  0.6424
Pt  0.5000  0.0000  0.3576
Pt  0.5000  0.5000  0.0000

Output
E_tot = -5.62 eV per atom
Space-group type = P-4m2